# CsPu2CrBr8

A relaxed CsPu2CrBr8 crystal (GGA-PBE, Alexandria).

Summary:
As for the uncorrected energy: -68.28 eV per cell. The calculation puts the raw formation energy at -15.8 eV/f.u.

Cell and atoms, written as CIF:
```
data_CsPu2CrBr8
_symmetry_space_group_name_H-M 'P 1'
_symmetry_Int_Tables_number 1
_cell_length_a 7.067
_cell_length_b 9.195
_cell_length_c 7.169
_cell_angle_alpha 90.00
_cell_angle_beta 98.27
_cell_angle_gamma 90.00
loop_
_symmetry_equiv_pos_as_xyz
'x,y,z'
loop_
_atom_site_label
_atom_site_type_symbol
_atom_site_fract_x
_atom_site_fract_y
_atom_site_fract_z
Cs1 Cs 0.000 0.000 0.000
Pu1 Pu 0.500 0.264 0.500
Pu2 Pu 0.500 0.736 0.500
Cr1 Cr 0.000 0.500 0.000
Br1 Br 0.244 0.307 0.146
Br2 Br 0.244 0.693 0.146
Br3 Br 0.276 0.500 0.637
Br4 Br 0.291 0.000 0.614
Br5 Br 0.709 0.000 0.386
Br6 Br 0.724 0.500 0.363
Br7 Br 0.756 0.307 0.854
Br8 Br 0.756 0.693 0.854
```